# Pr3Cd4Hg2, relaxed, DFT PBE
# DFT formation energy = -0.40 eV/atom
# DFT total energy = -2.463 eV/atom
# Size of the total moment = 0.0 Bohr magnetons per cell
# Distance to the lowest polymorph of the same formula = 0 meV per atom
data_Pr3Cd4Hg2
_chemical_formula_sum 'Pr3 Cd4 Hg2'
_cell_length_a 8.054
_cell_length_b 8.054
_cell_length_c 4.286
_cell_angle_alpha 90.00
_cell_angle_beta 90.00
_cell_angle_gamma 120.00
_space_group_name_H-M_alt 'P 1'
_space_group_IT_number 1
loop_
_space_group_symop_operation_xyz
'x,y,z'
loop_
_atom_site_label
_atom_site_type_symbol
_atom_site_fract_x
_atom_site_fract_y
_atom_site_fract_z
Pr1 Pr 0.000 0.411 0.000
Pr2 Pr 0.411 0.000 0.000
Pr3 Pr 0.589 0.589 0.000
Cd1 Cd 0.000 0.000 0.000
Cd2 Cd 0.000 0.746 0.500
Cd3 Cd 0.254 0.254 0.500
Cd4 Cd 0.746 0.000 0.500
Hg1 Hg 0.333 0.667 0.500
Hg2 Hg 0.667 0.333 0.500